(1)
# PBE LiCa2ErSe4, optimized geometry
# E_form (uncorrected): -1413 kJ/mol of formula units
# Calculated density: 4.8 g/cm3
data_LiCa2ErSe4
_chemical_formula_sum 'Li1 Ca2 Er1 Se4'
_symmetry_space_group_name_H-M 'P 1'
_symmetry_Int_Tables_number 1
_cell_length_a 7.0942
_cell_length_b 4.1371
_cell_length_c 7.1029
_cell_angle_alpha 90.00
_cell_angle_beta 108.73
_cell_angle_gamma 90.00
loop_
_symmetry_equiv_pos_as_xyz
'x,y,z'
loop_
_atom_site_label
_atom_site_type_symbol
_atom_site_fract_x
_atom_site_fract_y
_atom_site_fract_z
Li1 Li 0.0000 0.0000 0.0000
Ca1 Ca 0.0000 0.5000 0.5000
Ca2 Ca 0.5000 0.0000 0.5000
Er1 Er 0.5000 0.5000 0.0000
Se1 Se 0.2504 0.5000 0.2401
Se2 Se 0.2533 0.0000 0.7641
Se3 Se 0.7467 0.0000 0.2359
Se4 Se 0.7496 0.5000 0.7599

---

(2)
# PBE LiCaErSi, optimized geometry
# E_form (uncorrected): -106 kJ/mol of formula units
# Calculated density: 4.5 g/cm3
data_LiCaErSi
_chemical_formula_sum 'Li1 Ca1 Er1 Si1'
_symmetry_space_group_name_H-M 'P 1'
_symmetry_Int_Tables_number 1
_cell_length_a 5.0188
_cell_length_b 5.0188
_cell_length_c 5.0188
_cell_angle_alpha 60.00
_cell_angle_beta 60.00
_cell_angle_gamma 60.00
loop_
_symmetry_equiv_pos_as_xyz
'x,y,z'
loop_
_atom_site_label
_atom_site_type_symbol
_atom_site_fract_x
_atom_site_fract_y
_atom_site_fract_z
Li1 Li 0.0000 0.0000 0.0000
Ca1 Ca 0.7500 0.7500 0.7500
Er1 Er 0.2500 0.2500 0.2500
Si1 Si 0.5000 0.5000 0.5000

---

Calculated values (μB/cell) of magnetization for the records, taken in order: 0.00, 0.00.
Calculated values (eV for the cell shown) of electronic total energy for the records, taken in order: -39.1, -15.0.